Entry 1:
# K3Ag2Cl4F2

An optimized crystal structure of K3Ag2Cl4F2 (GGA-PBE, Alexandria via LeMat-Bulk).

Summary:
space group: No. 139
total moment: 0.00 μB/f.u.
D(E_F): 3.1 states/eV/cell
V: 296.0 Å³ per cell
E_form (uncorrected): -1488 meV/atom
E_tot: -36.5 eV for the cell shown

Structure (extended XYZ):
```
11
Lattice="5.0173 0.0000 0.0000 0.0000 5.0173 0.0000 -2.5087 -2.5087 11.7598" Properties=species:S:1:pos:R:3 pbc="T T T"
K 0.0000 0.0000 0.0000
K 0.0000 0.0000 4.4977
K 2.5087 2.5087 7.2621
Ag 0.0000 0.0000 9.2645
Ag 2.5087 2.5087 2.4953
Cl 0.0000 2.5087 9.6721
Cl 2.5087 0.0000 9.6721
Cl 0.0000 2.5087 2.0877
Cl 2.5087 0.0000 2.0877
F 0.0000 0.0000 6.9506
F 2.5087 2.5087 4.8092
```


Entry 2:
# TaTl2Br6

An optimized crystal structure of TaTl2Br6 (GGA-PBE, Alexandria via LeMat-Bulk).

Summary:
space group: No. 12
total moment: 1.00 μB/f.u.
D(E_F): 5.4 states/eV/cell
V: 324.2 Å³ per cell
energy above the lowest structure with this stoichiometry: 0.019 eV/atom
E_form (uncorrected): -848 meV/atom
E_tot: -34.3 eV for the cell shown

Structure (extended XYZ):
```
9
Lattice="6.6659 0.0191 0.0111 0.0992 7.4879 -0.0028 0.0992 3.7281 6.4938" Properties=species:S:1:pos:R:3 pbc="T T T"
Ta 0.0000 0.0000 0.0000
Tl 5.7983 7.5372 4.3620
Tl 1.0660 3.6980 2.1401
Br 1.5880 5.5506 5.4401
Br 1.6743 9.3854 5.4316
Br 1.5880 7.4822 2.1024
Br 5.2764 5.6845 1.0620
Br 5.1901 1.8498 1.0705
Br 5.2764 3.7529 4.3997
```